1.
VASP calculation (PBE-GGA) on an optimized crystal structure of SrAl2Cl8.

Values from the calculation:
As for the total magnetization: 0.00 μB per formula unit. Its formation energy from raw total energies is -1.827 eV/atom. The symmetry is Pbca. The calculated total energy is -0.1471 Ha/atom. For the energy above the most stable polymorph in this dataset, the calculation gives 0.0000 eV/atom.

CIF file:
```
data_SrAl2Cl8
_cell_length_a 11.775
_cell_length_b 11.906
_cell_length_c 20.272
_cell_angle_alpha 90.00
_cell_angle_beta 90.00
_cell_angle_gamma 90.00
_symmetry_space_group_name_H-M 'P 1'
_symmetry_Int_Tables_number 1
loop_
_symmetry_equiv_pos_as_xyz
'x,y,z'
loop_
_atom_site_label
_atom_site_type_symbol
_atom_site_fract_x
_atom_site_fract_y
_atom_site_fract_z
Cl1 Cl 0.643 0.587 0.496
Cl2 Cl 0.163 0.719 0.922
Cl3 Cl 0.711 0.261 0.403
Cl4 Cl 0.907 0.889 0.983
Cl5 Cl 0.837 0.781 0.422
Cl6 Cl 0.104 0.661 0.288
Cl7 Cl 0.104 0.161 0.212
Cl8 Cl 0.789 0.261 0.903
Cl9 Cl 0.093 0.111 0.017
Cl10 Cl 0.503 0.596 0.172
Cl11 Cl 0.663 0.781 0.922
Cl12 Cl 0.143 0.913 0.496
Cl13 Cl 0.301 0.399 0.237
Cl14 Cl 0.199 0.399 0.737
Cl15 Cl 0.337 0.219 0.078
Cl16 Cl 0.699 0.101 0.737
Cl17 Cl 0.492 0.510 0.342
Cl18 Cl 0.789 0.761 0.597
Cl19 Cl 0.003 0.404 0.328
Cl20 Cl 0.497 0.904 0.672
Cl21 Cl 0.407 0.611 0.983
Cl22 Cl 0.992 0.990 0.342
Cl23 Cl 0.593 0.889 0.483
Cl24 Cl 0.008 0.510 0.842
Cl25 Cl 0.699 0.601 0.763
Cl26 Cl 0.711 0.761 0.097
Cl27 Cl 0.163 0.219 0.578
Cl28 Cl 0.357 0.913 0.996
Cl29 Cl 0.211 0.239 0.403
Cl30 Cl 0.801 0.101 0.237
Cl31 Cl 0.301 0.899 0.263
Cl32 Cl 0.896 0.839 0.788
Cl33 Cl 0.663 0.281 0.578
Cl34 Cl 0.508 0.490 0.658
Cl35 Cl 0.508 0.990 0.842
Cl36 Cl 0.604 0.339 0.212
Cl37 Cl 0.857 0.587 0.996
Cl38 Cl 0.003 0.904 0.172
Cl39 Cl 0.837 0.281 0.078
Cl40 Cl 0.407 0.111 0.517
Cl41 Cl 0.289 0.739 0.597
Cl42 Cl 0.211 0.739 0.097
Cl43 Cl 0.997 0.596 0.672
Cl44 Cl 0.643 0.087 0.004
Cl45 Cl 0.992 0.490 0.158
Cl46 Cl 0.997 0.096 0.828
Cl47 Cl 0.857 0.087 0.504
Cl48 Cl 0.008 0.010 0.658
Cl49 Cl 0.143 0.413 0.004
Cl50 Cl 0.396 0.661 0.788
Cl51 Cl 0.199 0.899 0.763
Cl52 Cl 0.492 0.010 0.158
Cl53 Cl 0.503 0.096 0.328
Cl54 Cl 0.497 0.404 0.828
Cl55 Cl 0.357 0.413 0.504
Cl56 Cl 0.604 0.839 0.288
Cl57 Cl 0.907 0.389 0.517
Cl58 Cl 0.396 0.161 0.712
Cl59 Cl 0.289 0.239 0.903
Cl60 Cl 0.593 0.389 0.017
Cl61 Cl 0.337 0.719 0.422
Cl62 Cl 0.093 0.611 0.483
Cl63 Cl 0.896 0.339 0.712
Cl64 Cl 0.801 0.601 0.263
Al1 Al 0.975 0.041 0.240
Al2 Al 0.714 0.755 0.499
Al3 Al 0.714 0.255 0.001
Al4 Al 0.475 0.959 0.260
Al5 Al 0.025 0.459 0.740
Al6 Al 0.286 0.745 0.999
Al7 Al 0.525 0.541 0.760
Al8 Al 0.475 0.459 0.240
Al9 Al 0.786 0.755 0.999
Al10 Al 0.214 0.745 0.499
Al11 Al 0.286 0.245 0.501
Al12 Al 0.975 0.541 0.260
Al13 Al 0.525 0.041 0.740
Al14 Al 0.214 0.245 0.001
Al15 Al 0.025 0.959 0.760
Al16 Al 0.786 0.255 0.501
Sr1 Sr 0.237 0.492 0.376
Sr2 Sr 0.763 0.008 0.876
Sr3 Sr 0.737 0.008 0.376
Sr4 Sr 0.763 0.508 0.624
Sr5 Sr 0.263 0.492 0.876
Sr6 Sr 0.263 0.992 0.624
Sr7 Sr 0.737 0.508 0.124
Sr8 Sr 0.237 0.992 0.124
```

---

2.
VASP calculation (PBE-GGA) on an optimized crystal structure of SrAl2Cl.

Values from the calculation:
As for the total magnetization: 0.00 μB per formula unit. Its formation energy from raw total energies is -0.565 eV/atom. The symmetry is P2/m. The calculated total energy is -0.1220 Ha/atom. For the energy above the most stable polymorph in this dataset, the calculation gives 0.0685 eV/atom.

CIF file:
```
data_SrAl2Cl
_cell_length_a 6.792
_cell_length_b 3.723
_cell_length_c 4.303
_cell_angle_alpha 89.50
_cell_angle_beta 90.00
_cell_angle_gamma 90.00
_symmetry_space_group_name_H-M 'P 1'
_symmetry_Int_Tables_number 1
loop_
_symmetry_equiv_pos_as_xyz
'x,y,z'
loop_
_atom_site_label
_atom_site_type_symbol
_atom_site_fract_x
_atom_site_fract_y
_atom_site_fract_z
Sr1 Sr 0.500 0.750 0.750
Al1 Al 0.000 0.505 0.513
Al2 Al 0.000 0.995 0.987
Cl1 Cl 0.500 0.250 0.250
```